1.
{"formula": "Li3Ac2Cd12Hg", "functional": "PBE", "state": "relaxed", "lattice": [[5.256, 3.034, 4.776], [-5.256, 3.034, 4.776], [0.000, -6.069, 4.776]], "species": ["Li", "Li", "Li", "Ac", "Ac", "Cd", "Cd", "Cd", "Cd", "Cd", "Cd", "Cd", "Cd", "Cd", "Cd", "Cd", "Cd", "Hg"], "fractional_positions": [[0.000, 0.500, 0.500], [0.500, 0.000, 0.500], [0.500, 0.500, 0.000], [0.244, 0.244, 0.244], [0.756, 0.756, 0.756], [0.074, 0.074, 0.650], [0.074, 0.650, 0.074], [0.217, 0.696, 0.696], [0.304, 0.304, 0.783], [0.304, 0.783, 0.304], [0.350, 0.926, 0.926], [0.650, 0.074, 0.074], [0.696, 0.217, 0.696], [0.696, 0.696, 0.217], [0.783, 0.304, 0.304], [0.926, 0.350, 0.926], [0.926, 0.926, 0.350], [0.500, 0.500, 0.500]], "crystal_system": "trigonal", "formation_enthalpy_0k_ev_per_atom": -0.0685, "spacegroup": "No. 166", "energy_ev_per_cell": -26.475}



2.
{"formula": "NaYC", "functional": "PBE", "state": "relaxed", "lattice": [[5.692, 0.000, 0.000], [0.000, 3.860, 0.000], [-2.595, 0.000, 6.261]], "species": ["Na", "Na", "Y", "Y", "C", "C"], "fractional_positions": [[0.000, 0.000, 0.000], [0.265, 0.500, 0.368], [0.449, 0.500, 0.866], [0.802, 0.000, 0.489], [0.004, 0.500, 0.732], [0.757, 0.500, 0.708]], "crystal_system": "monoclinic", "formation_enthalpy_0k_ev_per_atom": 0.1661, "spacegroup": "No. 6", "energy_ev_per_cell": -33.017, "relative_energy_ev_per_atom": 0.299}



3.
{"formula": "Ca2AlZn4In3", "functional": "PBE", "state": "relaxed", "lattice": [[4.236, 0.000, 0.000], [0.000, 4.236, 0.000], [0.000, 0.000, 12.368]], "species": ["Ca", "Ca", "Al", "Zn", "Zn", "Zn", "Zn", "In", "In", "In"], "fractional_positions": [[0.000, 0.500, 0.233], [0.500, 0.000, 0.767], [0.500, 0.500, 0.000], [0.000, 0.000, 0.500], [0.000, 0.500, 0.861], [0.500, 0.000, 0.139], [0.500, 0.500, 0.500], [0.000, 0.000, 0.000], [0.000, 0.500, 0.645], [0.500, 0.000, 0.355]], "crystal_system": "tetragonal", "formation_enthalpy_0k_ev_per_atom": -0.2191, "spacegroup": "No. 115", "energy_ev_per_cell": -23.248}



4.
{"formula": "U5Ge3Os3", "functional": "PBE", "state": "relaxed", "lattice": [[8.361, 0.000, 0.000], [-4.180, 7.241, 0.000], [0.000, 0.000, 3.873]], "species": ["U", "U", "U", "U", "U", "Ge", "Ge", "Ge", "Os", "Os", "Os"], "fractional_positions": [[0.000, 0.635, 0.000], [0.333, 0.667, 0.000], [0.365, 0.365, 0.000], [0.635, 0.000, 0.000], [0.667, 0.333, 0.000], [0.000, 0.368, 0.500], [0.368, 0.000, 0.500], [0.632, 0.632, 0.500], [0.000, 0.187, 0.000], [0.187, 0.000, 0.000], [0.813, 0.813, 0.000]], "crystal_system": "hexagonal", "formation_enthalpy_0k_ev_per_atom": 0.3355, "spacegroup": "No. 189", "energy_ev_per_cell": -100.292}



5.
{"formula": "TlSbSe2", "functional": "PBE", "state": "relaxed", "lattice": [[4.275, -4.270, 0.000], [4.275, 4.270, 0.000], [-0.018, 0.000, 3.023]], "species": ["Tl", "Sb", "Se", "Se"], "fractional_positions": [[0.000, 0.000, 0.000], [0.500, 0.500, 0.000], [0.000, 0.500, 0.000], [0.500, 0.000, 0.000]], "crystal_system": "monoclinic", "spacegroup": "No. 12", "raw_formation_energy_ev_per_atom": -0.063, "energy_ev_per_cell": -13.709}



6.
{"formula": "CePm2ZrP4", "functional": "PBE", "state": "relaxed", "lattice": [[6.942, 0.000, 0.000], [0.000, 4.007, 0.000], [-2.292, 0.000, 6.567]], "species": ["Ce", "Pm", "Pm", "Zr", "P", "P", "P", "P"], "fractional_positions": [[0.000, 0.000, 0.000], [0.000, 0.500, 0.500], [0.500, 0.000, 0.500], [0.500, 0.500, 0.000], [0.256, 0.500, 0.237], [0.264, 0.000, 0.768], [0.736, 0.000, 0.232], [0.744, 0.500, 0.763]], "crystal_system": "monoclinic", "formation_enthalpy_0k_ev_per_atom": -1.4860, "spacegroup": "No. 10", "energy_ev_per_cell": -57.511}



7.
{"formula": "AuC2", "functional": "PBE", "state": "relaxed", "lattice": [[5.100, 0.000, 0.000], [0.000, 5.100, 0.000], [0.000, 0.000, 5.100]], "species": ["Au", "Au", "Au", "Au", "C", "C", "C", "C", "C", "C", "C", "C"], "fractional_positions": [[0.000, 0.000, 0.000], [0.000, 0.500, 0.500], [0.500, 0.000, 0.500], [0.500, 0.500, 0.000], [0.077, 0.577, 0.923], [0.077, 0.923, 0.423], [0.423, 0.077, 0.923], [0.423, 0.423, 0.423], [0.577, 0.577, 0.577], [0.577, 0.923, 0.077], [0.923, 0.077, 0.577], [0.923, 0.423, 0.077]], "crystal_system": "cubic", "formation_enthalpy_0k_ev_per_atom": 1.3986, "spacegroup": "No. 205", "energy_ev_per_cell": -70.117, "relative_energy_ev_per_atom": 1.133}



8.
{"formula": "LaCe6O12", "functional": "PBE", "state": "relaxed", "lattice": [[5.225, 3.017, 3.179], [-5.225, 3.017, 3.179], [0.000, -6.034, 3.179]], "species": ["La", "Ce", "Ce", "Ce", "Ce", "Ce", "Ce", "O", "O", "O", "O", "O", "O", "O", "O", "O", "O", "O", "O"], "fractional_positions": [[0.000, 0.000, 0.000], [0.138, 0.600, 0.301], [0.301, 0.138, 0.600], [0.400, 0.699, 0.862], [0.600, 0.301, 0.138], [0.699, 0.862, 0.400], [0.862, 0.400, 0.699], [0.072, 0.920, 0.329], [0.080, 0.671, 0.928], [0.178, 0.431, 0.578], [0.329, 0.072, 0.920], [0.422, 0.822, 0.569], [0.431, 0.578, 0.178], [0.569, 0.422, 0.822], [0.578, 0.178, 0.431], [0.671, 0.928, 0.080], [0.822, 0.569, 0.422], [0.920, 0.329, 0.072], [0.928, 0.080, 0.671]], "crystal_system": "trigonal", "spacegroup": "No. 148", "raw_formation_energy_ev_per_atom": -3.462, "energy_ev_per_cell": -165.816}



Number 1: total moment 0.00 μB per cell. Number 2: total moment 0.00 μB per cell. Number 3: total moment 0.00 μB per cell. Number 4: total moment 7.22 μB per cell. Number 5: total moment 0.00 μB per cell. Number 6: total moment 0.22 μB per cell. Number 7: total moment 0.00 μB per cell. Number 8: total moment 3.15 μB per cell.